Density functional theory data (PBE-GGA) for a relaxed structure of Dy2MgMn.

a = 5.1751 Å, b = 5.1751 Å, c = 5.1751 Å
α = 60.00°, β = 60.00°, γ = 60.00°
Sites, in units of the cell vectors:
Dy 0.2500 0.2500 0.2500
Dy 0.7500 0.7500 0.7500
Mg 0.0000 0.0000 0.0000
Mn 0.5000 0.5000 0.5000

Relative energy among the computed polymorphs = 59 meV/atom
Density = 6.849 g/cm³
ΔE_f = 0.38 eV/f.u.

Density functional theory data (PBE-GGA) for a relaxed structure of Dy2MgMn.

a = 10.3514 Å, b = 10.3514 Å, c = 10.3514 Å
α = 18.93°, β = 18.93°, γ = 18.93°
Sites, in units of the cell vectors:
Dy 0.2408 0.2408 0.2408
Dy 0.7592 0.7592 0.7592
Mg 0.0000 0.0000 0.0000
Mn 0.5000 0.5000 0.5000

Relative energy among the computed polymorphs = 196 meV/atom
Density = 6.583 g/cm³
ΔE_f = 0.93 eV/f.u.

Density functional theory data (PBE-GGA) for a relaxed structure of DyMgMn.

a = 7.2727 Å, b = 7.2727 Å, c = 5.4701 Å
α = 103.04°, β = 103.04°, γ = 27.64°
Sites, in units of the cell vectors:
Dy 0.1397 0.1397 0.3274
Dy 0.8603 0.8603 0.6726
Mg 0.4246 0.4246 0.2020
Mg 0.5754 0.5754 0.7980
Mn 0.2368 0.2368 0.8877
Mn 0.7632 0.7632 0.1123

Density = 6.149 g/cm³
ΔE_f = 0.23 eV/f.u.

Density functional theory data (PBE-GGA) for a relaxed structure of DyMgMn.

a = 6.3294 Å, b = 6.3294 Å, c = 6.3294 Å
α = 149.05°, β = 149.05°, γ = 44.33°
Sites, in units of the cell vectors:
Dy 0.0000 0.0000 0.0000
Mg 0.7095 0.7095 0.0000
Mn 0.3448 0.3448 0.0000

Density = 6.004 g/cm³
ΔE_f = 0.41 eV/f.u.

Density functional theory data (PBE-GGA) for a relaxed structure of NdDyMgMn.

a = 5.2641 Å, b = 5.2641 Å, c = 5.2641 Å
α = 60.00°, β = 60.00°, γ = 60.00°
Sites, in units of the cell vectors:
Nd 0.0000 0.0000 0.0000
Dy 0.5000 0.5000 0.5000
Mg 0.2500 0.2500 0.2500
Mn 0.7500 0.7500 0.7500

Density = 6.214 g/cm³
ΔE_f = 0.44 eV/f.u.